A relaxed Zr2CrTc crystal, computed with PBE-GGA.

As for the space-group type: P4/mmm (123).

Lattice parameters (Å, degrees): 4.6592 4.6592 3.2900 90.00 90.00 90.00
With the nearest neighbours (Å) after each atom.
Sites, in units of the cell vectors:
Zr 0.0000 0.5000 0.0000  4 Cr 2.85, 4 Tc 2.85
Zr 0.5000 0.0000 0.0000  4 Cr 2.85, 4 Tc 2.85
Cr 0.0000 0.0000 0.5000  8 Zr 2.85
Tc 0.5000 0.5000 0.5000  8 Zr 2.85

A relaxed Zr2CrTc crystal, computed with PBE-GGA.

As for the space-group type: R3m (160).

Lattice parameters (Å, degrees): 3.0587 3.0587 27.0008 90.00 90.00 120.00
With the nearest neighbours (Å) after each atom.
Sites, in units of the cell vectors:
Zr 0.0000 0.0000 0.0000  3 Cr 2.89, 6 Zr 3.06
Zr 0.0000 0.0000 0.2329  3 Tc 2.96, 9 Zr 3.06-3.24
Zr 0.3333 0.6667 0.6667  3 Cr 2.89, 6 Zr 3.06
Zr 0.3333 0.6667 0.8996  3 Tc 2.96, 9 Zr 3.06-3.24
Zr 0.6667 0.3333 0.3333  3 Cr 2.89, 6 Zr 3.06
Zr 0.6667 0.3333 0.5662  3 Tc 2.96, 9 Zr 3.06-3.24
Cr 0.0000 0.0000 0.7513  3 Tc 2.40
Cr 0.3333 0.6667 0.4180  3 Tc 2.40
Cr 0.6667 0.3333 0.0847  3 Tc 2.40
Tc 0.0000 0.0000 0.4784  3 Cr 2.40
Tc 0.3333 0.6667 0.1450  3 Cr 2.40
Tc 0.6667 0.3333 0.8117  3 Cr 2.40

A relaxed Zr2CrTc crystal, computed with PBE-GGA.

As for the space-group type: Pm (6).

Lattice parameters (Å, degrees): 3.0744 4.3656 5.3982 90.00 103.08 90.00
With the nearest neighbours (Å) after each atom.
Sites, in units of the cell vectors:
Zr 0.0000 0.0000 0.0000  2 Tc 2.68-2.92, 2 Cr 2.77, 2 Zr 2.95
Zr 0.2889 0.5000 0.7063  2 Cr 2.66-2.94, 2 Tc 2.74, 2 Zr 2.95
Cr 0.7404 0.5000 0.2477  2 Tc 2.62, 3 Zr 2.66-2.77
Tc 0.5407 0.0000 0.4647  2 Cr 2.62, 4 Zr 2.68-2.92

Calculated E in order - -37.51, -108.15, -36.67 eV for the cell shown